## CaNiOs2 (PBEsol)

Data for crystalline CaNiOs2 at its relaxed geometry.

a b c (Å): 5.424 5.424 5.424
angles (deg): 149.76 129.04 60.41
Sites, in units of the cell vectors:
Ca 0.000 0.000 0.000
Ni 0.269 0.769 0.500
Os 0.492 0.492 0.000
Os 0.717 0.217 0.500

Results
* crystal system: orthorhombic
* excess energy over the best structure of this formula in the dataset: 283.4 meV per atom



## CaNiOs (PBEsol)

Data for crystalline CaNiOs at its relaxed geometry.

a b c (Å): 5.532 5.532 5.532
angles (deg): 152.25 139.32 49.96
Sites, in units of the cell vectors:
Ca 0.000 0.000 0.000
Ni 0.717 0.717 0.000
Os 0.290 0.290 0.000

Results
* crystal system: orthorhombic
* excess energy over the best structure of this formula in the dataset: 0.0 meV per atom



## CaNi2Os (PBEsol)

Data for crystalline CaNi2Os at its relaxed geometry.

a b c (Å): 4.907 4.907 4.907
angles (deg): 135.28 135.28 65.10
Sites, in units of the cell vectors:
Ca 0.000 0.000 0.000
Ni 0.500 0.500 0.000
Ni 0.750 0.250 0.500
Os 0.250 0.750 0.500

Results
* crystal system: tetragonal
* excess energy over the best structure of this formula in the dataset: 260.8 meV per atom



## CaNiOs (PBEsol)

Data for crystalline CaNiOs at its relaxed geometry.

a b c (Å): 4.532 4.532 2.664
angles (deg): 90.00 90.00 120.00
Sites, in units of the cell vectors:
Ca 0.000 0.000 0.000
Ni 0.333 0.667 0.500
Os 0.667 0.333 0.500

Results
* crystal system: hexagonal
* excess energy over the best structure of this formula in the dataset: 237.7 meV per atom



## CaNiOs2 (PBEsol)

Data for crystalline CaNiOs2 at its relaxed geometry.

a b c (Å): 2.768 3.672 6.383
angles (deg): 90.00 90.00 90.00
Sites, in units of the cell vectors:
Ca 0.000 0.000 0.000
Ni 0.500 0.500 0.280
Os 0.000 0.000 0.491
Os 0.500 0.500 0.668

Results
* crystal system: orthorhombic
* excess energy over the best structure of this formula in the dataset: 0.0 meV per atom



## Ca3NiOs (PBEsol)

Data for crystalline Ca3NiOs at its relaxed geometry.

a b c (Å): 5.298 5.298 5.298
angles (deg): 90.00 90.00 90.00
Sites, in units of the cell vectors:
Ca 0.000 0.000 0.500
Ca 0.000 0.500 0.000
Ca 0.500 0.000 0.000
Ni 0.500 0.500 0.500
Os 0.000 0.000 0.000

Results
* crystal system: cubic



| no. | DFT formation energy (eV/atom) | E_tot (eV per atom) | DOS(E_F) (states/eV per cell) |
| --- | --- | --- | --- |
| 1 | 0.63 | -7.55 | 4.7 |
| 2 | 0.32 | -6.51 | 2.7 |
| 3 | 0.58 | -6.08 | 3.8 |
| 4 | 0.56 | -6.28 | 3.6 |
| 5 | 0.35 | -7.83 | 4.0 |
| 6 | 0.87 | -4.09 | 10.9 |